Computed, not measured: a relaxed structure of Er2Tl5Cd at the PBE level of DFT.

Results
As for the crystal system: orthorhombic. For the calculated formation energy, the calculation gives -0.204 eV/atom. Its size of the total moment is 0.00 μB per cell.

Cell and atoms, written as CIF:
```
data_Er2Tl5Cd
_cell_length_a 6.6025
_cell_length_b 13.2882
_cell_length_c 4.7657
_cell_angle_alpha 90.00
_cell_angle_beta 90.00
_cell_angle_gamma 90.00
_symmetry_space_group_name_H-M 'P 1'
_symmetry_Int_Tables_number 1
loop_
_symmetry_equiv_pos_as_xyz
'x,y,z'
loop_
_atom_site_label
_atom_site_fract_x
_atom_site_fract_y
_atom_site_fract_z
Er1 0.2339 0.1280 0.0000
Er2 0.2661 0.6280 0.0000
Er3 0.7339 0.3720 0.0000
Er4 0.7661 0.8720 0.0000
Tl1 0.0000 0.0000 0.5000
Tl2 0.0192 0.7455 0.5000
Tl3 0.2297 0.3808 0.0000
Tl4 0.2703 0.8808 0.0000
Tl5 0.4808 0.2455 0.5000
Tl6 0.5000 0.5000 0.5000
Tl7 0.5192 0.7545 0.5000
Tl8 0.7297 0.1192 0.0000
Tl9 0.7703 0.6192 0.0000
Tl10 0.9808 0.2545 0.5000
Cd1 0.0000 0.5000 0.5000
Cd2 0.5000 0.0000 0.5000
```